# Li2Nd4C

A geometry-optimized Li2Nd4C structure (GGA-PBE, the Alexandria database).

```
Li2Nd4C
1.0
-0.067 -1.809 -4.850
-2.904 -4.002 1.532
-7.757 1.106 -3.069
Nd C Li
4 1 2
direct
0.000 0.500 0.000
0.165 0.165 0.670
0.500 0.000 0.000
0.835 0.835 0.330
0.000 0.000 0.000
0.366 0.366 0.268
0.634 0.634 0.732
```

Calculated values
Total magnetic moment: 0.00 μB/atom
Symmetry: I4/mmm (139)
DOS(E_F): 1.11 states/eV/atom
ΔH_f (0 K): 159.9 meV/atom
Volume: 29.0 A^3/atom

# LiNdC

A geometry-optimized LiNdC structure (GGA-PBE, the Alexandria database).

```
LiNdC
1.0
-1.126 1.885 -2.107
-3.186 -0.135 1.582
1.019 8.159 6.753
Nd C Li
2 2 2
direct
0.750 0.075 0.849
0.250 0.925 0.151
0.250 0.518 0.963
0.750 0.482 0.037
0.250 0.709 0.582
0.750 0.291 0.418
```

Calculated values
Total magnetic moment: 0.00 μB/atom
Symmetry: Cmcm (63)
DOS(E_F): 0.36 states/eV/atom
Energy relative to the lowest polymorph listed for this composition: 207 meV/atom
ΔH_f (0 K): 157.8 meV/atom
Volume: 18.9 A^3/atom

# LiNdC

A geometry-optimized LiNdC structure (GGA-PBE, the Alexandria database).

```
LiNdC
1.0
4.180 0.000 0.000
2.090 3.620 0.000
2.090 1.207 3.413
C Li Nd
1 1 1
direct
0.250 0.250 0.250
0.500 0.500 0.500
0.000 0.000 0.000
```

Calculated values
Total magnetic moment: 0.00 μB/atom
Symmetry: F-43m (216)
Energy relative to the lowest polymorph listed for this composition: 79 meV/atom
ΔH_f (0 K): 30.0 meV/atom
Volume: 17.2 A^3/atom

# LiNd3C

A geometry-optimized LiNd3C structure (GGA-PBE, the Alexandria database).

```
LiNd3C
1.0
5.173 0.000 0.000
0.000 5.173 0.000
0.000 0.000 5.173
Nd Li C
3 1 1
direct
0.500 0.000 0.000
0.000 0.000 0.500
0.000 0.500 0.000
0.500 0.500 0.500
0.000 0.000 0.000
```

Calculated values
Total magnetic moment: 0.00 μB/atom
Symmetry: Pm-3m (221)
DOS(E_F): 1.02 states/eV/atom
ΔH_f (0 K): 80.8 meV/atom
Volume: 27.7 A^3/atom

# Li3NdC4O12

A geometry-optimized Li3NdC4O12 structure (GGA-PBE, the Alexandria database).

```
Li3NdC4O12
1.0
6.205 0.097 0.135
-1.401 6.046 0.135
-1.401 -1.791 5.776
O C Li Nd
12 4 3 1
direct
0.633 0.500 0.367
0.367 0.633 0.500
0.916 0.500 0.084
0.040 0.630 0.813
0.187 0.370 0.960
0.630 0.813 0.040
0.813 0.040 0.630
0.500 0.367 0.633
0.500 0.084 0.916
0.960 0.187 0.370
0.370 0.960 0.187
0.084 0.916 0.500
0.500 0.951 0.049
0.500 0.500 0.500
0.951 0.049 0.500
0.049 0.500 0.951
0.449 0.000 0.551
0.551 0.449 0.000
0.000 0.551 0.449
0.000 0.000 0.000
```

Calculated values
Total magnetic moment: 0.10 μB/atom
Symmetry: R32 (155)
DOS(E_F): 0.48 states/eV/atom
Volume: 11.0 A^3/atom

# LiNdC2O6

A geometry-optimized LiNdC2O6 structure (GGA-PBE, the Alexandria database).

```
LiNdC2O6
1.0
6.439 0.828 -0.544
0.034 6.492 -0.544
-2.435 -2.754 6.719
O Li C Nd
12 2 4 2
direct
0.748 0.831 0.464
0.692 0.057 0.292
0.831 0.748 0.964
0.943 0.308 0.208
0.506 0.280 0.871
0.252 0.169 0.536
0.720 0.494 0.629
0.280 0.506 0.371
0.057 0.692 0.792
0.169 0.252 0.036
0.494 0.720 0.129
0.308 0.943 0.708
0.985 0.015 0.250
0.015 0.985 0.750
0.876 0.645 0.798
0.645 0.876 0.298
0.124 0.355 0.202
0.355 0.124 0.702
0.589 0.411 0.250
0.411 0.589 0.750
```

Calculated values
Total magnetic moment: 0.00 μB/atom
Symmetry: C2/c (15)
DOS(E_F): 0.00 states/eV/atom
Volume: 13.2 A^3/atom

# LiNd2OsC

A geometry-optimized LiNd2OsC structure (GGA-PBE, the Alexandria database).

```
LiNd2OsC
1.0
-2.907 2.424 1.045
-3.515 -3.463 -1.744
-0.155 -2.227 4.734
Li Os C Nd
1 1 1 2
direct
0.500 0.500 0.500
0.500 0.000 0.000
0.000 0.000 0.000
0.000 0.000 0.500
0.000 0.500 0.000
```

Calculated values
Total magnetic moment: 0.00 μB/atom
Symmetry: P4/mmm (123)
DOS(E_F): 0.67 states/eV/atom
ΔH_f (0 K): -170.8 meV/atom
Volume: 21.5 A^3/atom

# LiNi3C

A geometry-optimized LiNi3C structure (GGA-PBE, the Alexandria database).

```
LiNi3C
1.0
1.040 -1.826 -16.892
-2.843 -3.817 0.238
-2.345 2.129 6.133
Li C Ni
4 4 12
direct
0.587 0.313 0.599
0.413 0.687 0.401
0.087 0.187 0.099
0.913 0.813 0.901
0.831 0.625 0.248
0.669 0.125 0.252
0.169 0.375 0.752
0.331 0.875 0.748
0.626 0.804 0.575
0.252 0.049 0.806
0.748 0.951 0.194
0.027 0.729 0.494
0.973 0.271 0.506
0.752 0.451 0.306
0.874 0.304 0.925
0.374 0.196 0.425
0.527 0.771 0.994
0.126 0.696 0.075
0.248 0.549 0.694
0.473 0.229 0.006
```

Calculated values
Total magnetic moment: 0.00 μB/atom
Symmetry: P2_1/c (14)
DOS(E_F): 0.36 states/eV/atom
Energy relative to the lowest polymorph listed for this composition: 127 meV/atom
ΔH_f (0 K): 49.4 meV/atom
Volume: 9.9 A^3/atom

# LiNiC

A geometry-optimized LiNiC structure (GGA-PBE, the Alexandria database).

```
LiNiC
1.0
3.754 0.010 -0.006
-1.243 3.818 0.010
-0.124 -0.746 4.167
C Ni Li
2 2 2
direct
0.135 0.144 0.453
0.865 0.856 0.547
0.680 0.306 0.465
0.320 0.694 0.535
0.206 0.264 0.964
0.794 0.736 0.036
```

Calculated values
Total magnetic moment: 0.00 μB/atom
Symmetry: P-1 (2)
DOS(E_F): 0.18 states/eV/atom
Energy relative to the lowest polymorph listed for this composition: 72 meV/atom
ΔH_f (0 K): 103.0 meV/atom
Volume: 10.0 A^3/atom

# LiNi3C

A geometry-optimized LiNi3C structure (GGA-PBE, the Alexandria database).

```
LiNi3C
1.0
-5.598 -1.024 3.291
5.244 -3.359 -2.106
2.137 0.884 3.910
C Ni Li
2 6 2
direct
0.446 0.554 0.250
0.554 0.446 0.750
0.593 0.915 0.250
0.407 0.085 0.750
0.085 0.407 0.250
0.000 0.000 0.000
0.000 0.000 0.500
0.915 0.593 0.750
0.168 0.832 0.250
0.832 0.168 0.750
```

Calculated values
Total magnetic moment: 0.10 μB/atom
Symmetry: Cmcm (63)
DOS(E_F): 0.86 states/eV/atom
Energy relative to the lowest polymorph listed for this composition: 954 meV/atom
ΔH_f (0 K): 875.6 meV/atom
Volume: 12.8 A^3/atom

# LiNi3C

A geometry-optimized LiNi3C structure (GGA-PBE, the Alexandria database).

```
LiNi3C
1.0
2.655 0.000 0.000
0.000 2.426 -6.374
0.000 2.426 6.374
C Ni Li
1 3 1
direct
0.000 0.417 0.583
0.500 0.680 0.838
0.000 0.274 0.726
0.500 0.162 0.320
0.500 0.096 0.904
```

Calculated values
Total magnetic moment: 0.00 μB/atom
Symmetry: Amm2 (38)
DOS(E_F): 0.41 states/eV/atom
Energy relative to the lowest polymorph listed for this composition: 604 meV/atom
ΔH_f (0 K): 526.3 meV/atom
Volume: 16.4 A^3/atom

# LiNiC

A geometry-optimized LiNiC structure (GGA-PBE, the Alexandria database).

```
LiNiC
1.0
-1.502 -2.649 0.215
0.358 -2.139 -2.144
2.682 -3.160 1.432
Ni Li C
1 1 1
direct
0.463 0.672 0.661
0.955 0.166 0.183
0.175 0.385 0.526
```

Calculated values
Total magnetic moment: 0.00 μB/atom
Symmetry: R3m (160)
DOS(E_F): 0.43 states/eV/atom
Energy relative to the lowest polymorph listed for this composition: 277 meV/atom
ΔH_f (0 K): 307.3 meV/atom
Volume: 10.8 A^3/atom

Computed electronic total energy, in the same sequence as the records: -31.0, -15.4, -15.8, -25.0, -141.6, -76.0, -32.8, -28.2, -16.6, -24.1, -25.9, -16.0 eV/f.u..